Computed, not measured: an optimized crystal structure of FePt2Pb at the PBE level of DFT.

CIF file:
```
data_FePt2Pb
_chemical_formula_sum 'Fe1 Pt2 Pb1'
_space_group_name_H-M_alt 'P 4 m m'
_space_group_IT_number 99
_space_group_name_Hall 'P 4 -2'
_cell_length_a 3.411
_cell_length_b 3.411
_cell_length_c 6.159
_cell_angle_alpha 90.00
_cell_angle_beta 90.00
_cell_angle_gamma 90.00
loop_
_atom_site_label
_atom_site_type_symbol
_atom_site_fract_x
_atom_site_fract_y
_atom_site_fract_z
Fe1 Fe 0.000 0.000 0.000
Pt1 Pt 0.000 0.000 0.577
Pt2 Pt 0.500 0.500 0.837
Pb1 Pb 0.500 0.500 0.318
```

## Properties
Magnetization = 3.5 μB/f.u.
Formation energy = 0.398 eV per formula unit